A geometry-optimized Tc2RhW structure, computed with PBEsol.

Cell: 5.275 8.971 2.646 Å, 90.00 113.04 90.00°
Positions (direct):
Tc 0.250 0.250 0.000
Tc 0.250 0.750 0.000
Tc 0.750 0.250 0.000
Tc 0.750 0.750 0.000
Rh 0.000 0.000 0.500
Rh 0.500 0.500 0.500
W 0.000 0.500 0.500
W 0.500 0.000 0.500

**Crystal system**: monoclinic
**Fermi-level density of states**: 4.451 states/eV/f.u.
**Spin magnetization**: 0.00 Bohr magnetons per cell
**ΔE_f**: 0.19 eV/atom